Computed, not measured: crystalline KRe2Cl at its relaxed geometry at the GGA-PBE level of DFT.

Unit cell a=3.3388 b=6.5120 c=10.1690 alpha=90.00 beta=90.00 gamma=90.00
With the nearest neighbours (Å) after each atom.
Space group Imm2 (No. 44)
Unique sites:
K  0.0000  0.0000  0.0000  2 Cl 3.14, 2 K 3.34, 2 Re 3.48
Re  0.0000  0.0000  0.5357  2 Re 2.31
Re  0.0000  0.5000  0.8784  2 Re 2.31
Cl  0.0000  0.5000  0.2386  2 Re 2.65

**Fermi-level density of states**: 7.179 states/eV per cell
**Formation energy without anion corrections**: 869 meV per atom
**Uncorrected energy**: -6.091 eV/atom
**Calculated volume**: 221.09 Å³/cell
**Energy relative to the lowest polymorph listed for this composition**: 70.97 kJ/mol of atoms
**Magnetic moment**: 0.0 μB per cell